No. 1
DFT (PBE) results for a relaxed structure of BeAs2.

Output
Energy relative to the lowest polymorph listed for this composition, meV/atom: 94
Calculated density, g cm⁻³: 4.72
Symmetry: Cmcm
Formation enthalpy at 0 K, eV/atom: 0.157
Calculated total energy, eV per atom: -4.1843

Cell and atoms, written as extended XYZ:
```
6
Lattice="1.835 -7.276 0.000 1.835 7.276 0.000 0.000 0.000 4.184" Properties=species:S:1:pos:R:3 pbc="T T T"
As 1.835 -3.908 3.138
As 1.835 -0.760 3.138
As 1.835 3.908 1.046
As 1.835 0.760 1.046
Be 1.835 5.105 3.138
Be 1.835 -5.105 1.046
```

=====

No. 2
DFT (PBE) results for a relaxed structure of Be2As.

Output
Energy relative to the lowest polymorph listed for this composition, meV/atom: 302
Calculated density, g cm⁻³: 4.10
Symmetry: P-62m
Formation enthalpy at 0 K, eV/atom: 0.409
Calculated total energy, eV per atom: -3.6252

Cell and atoms, written as extended XYZ:
```
9
Lattice="-3.568 -0.893 -4.824 1.943 -4.737 3.254 -2.864 0.249 2.072" Properties=species:S:1:pos:R:3 pbc="T T T"
Be 0.528 -1.287 0.884
Be -0.263 -2.726 2.994
Be -3.579 -0.413 -1.867
Be -1.184 -4.100 -1.143
Be -2.079 -2.117 0.411
Be -0.970 -0.243 -1.311
As -1.731 -2.174 -2.131
As -1.432 0.125 1.036
As 0.106 -3.455 0.562
```

=====

No. 3
DFT (PBE) results for a relaxed structure of BeAs2.

Output
Energy relative to the lowest polymorph listed for this composition, meV/atom: 238
Calculated density, g cm⁻³: 4.83
Symmetry: Imma
Formation enthalpy at 0 K, eV/atom: 0.301
Calculated total energy, eV per atom: -4.0405

Cell and atoms, written as extended XYZ:
```
6
Lattice="-1.455 1.657 11.334 1.455 -1.657 11.334 1.455 1.657 -11.334" Properties=species:S:1:pos:R:3 pbc="T T T"
As 0.000 0.828 1.535
As 1.455 0.828 9.799
As 0.000 0.828 4.102
As 1.455 0.828 7.232
Be 1.455 0.828 -2.830
Be 0.000 0.828 14.163
```

=====

What is the formula in the first record?
BeAs2

=====

What is the formation enthalpy at 0 K in the second record?
0.409 eV/atom

=====

Which value of energy relative to the lowest polymorph listed for this composition does entry 3 give?
238 meV/atom